[1]
DFT (PBE-GGA) results for an optimized crystal structure of MgZr4Ru5.

Unit cell a=3.268 b=3.268 c=16.106 alpha=90.00 beta=90.00 gamma=90.00
Positions (direct):
Ru 0.500 0.500 0.099
Ru 0.500 0.500 0.500
Ru 0.500 0.500 0.901
Ru 0.500 0.500 0.298
Ru 0.500 0.500 0.702
Zr 0.000 0.000 0.397
Zr 0.000 0.000 0.810
Zr 0.000 0.000 0.603
Zr 0.000 0.000 0.190
Mg 0.000 0.000 0.000

Results
Electronic total energy: -8.748 eV per atom
Symmetry: P4/mmm
Calculated formation energy: -5.317 eV per formula unit



[2]
DFT (PBE-GGA) results for an optimized crystal structure of MgZrRu.

Unit cell a=4.463 b=4.463 c=4.463 alpha=60.00 beta=60.00 gamma=60.00
Positions (direct):
Mg 0.500 0.500 0.500
Ru 0.750 0.750 0.750
Zr 0.000 0.000 0.000

Results
Energy relative to the lowest polymorph listed for this composition: 234 meV/atom
Electronic total energy: -6.502 eV per atom
Symmetry: F-43m
Calculated formation energy: -0.087 eV per formula unit



[3]
DFT (PBE-GGA) results for an optimized crystal structure of MgZrRu2.

Unit cell a=4.447 b=2.892 c=5.400 alpha=73.93 beta=90.00 gamma=90.00
Positions (direct):
Zr 0.000 0.481 0.486
Mg 0.500 0.782 0.771
Ru 0.000 0.993 0.999
Ru 0.500 0.245 0.244

Results
Electronic total energy: -7.187 eV per atom
Symmetry: Pm
Calculated formation energy: -0.055 eV per formula unit



[4]
DFT (PBE-GGA) results for an optimized crystal structure of MgZrRu.

Unit cell a=4.522 b=6.294 c=8.829 alpha=90.00 beta=90.00 gamma=90.00
Positions (direct):
Mg 0.750 0.037 0.103
Mg 0.750 0.463 0.603
Mg 0.250 0.963 0.897
Mg 0.250 0.537 0.397
Ru 0.750 0.790 0.377
Ru 0.250 0.210 0.623
Ru 0.750 0.710 0.877
Ru 0.250 0.290 0.123
Zr 0.750 0.966 0.638
Zr 0.250 0.034 0.362
Zr 0.250 0.466 0.862
Zr 0.750 0.534 0.138

Results
Energy relative to the lowest polymorph listed for this composition: 198 meV/atom
Electronic total energy: -6.538 eV per atom
Symmetry: Pnma
Calculated formation energy: -0.194 eV per formula unit



[5]
DFT (PBE-GGA) results for an optimized crystal structure of MgZrRu2.

Unit cell a=5.115 b=5.115 c=5.115 alpha=142.56 beta=123.13 gamma=70.09
Positions (direct):
Zr 0.250 0.750 0.500
Ru 0.003 0.003 0.000
Ru 0.497 0.497 0.000
Mg 0.750 0.250 0.500

Results
Electronic total energy: -7.234 eV per atom
Symmetry: Immm
Calculated formation energy: -0.241 eV per formula unit



[6]
DFT (PBE-GGA) results for an optimized crystal structure of MgZrRu2.

Unit cell a=2.939 b=2.939 c=8.463 alpha=90.00 beta=90.00 gamma=112.31
Positions (direct):
Ru 0.000 0.000 0.003
Ru 0.000 0.000 0.497
Mg 0.500 0.500 0.750
Zr 0.500 0.500 0.250

Results
Electronic total energy: -7.216 eV per atom
Symmetry: Cmmm
Calculated formation energy: -0.170 eV per formula unit



[7]
DFT (PBE-GGA) results for an optimized crystal structure of MgS3.

Unit cell a=3.714 b=4.234 c=4.880 alpha=90.00 beta=90.00 gamma=90.00
Positions (direct):
S 0.343 0.000 0.000
S 0.551 0.500 0.000
S 0.667 0.500 0.500
Mg 0.105 0.000 0.500

Results
Electronic total energy: -3.871 eV per atom
Symmetry: Pmm2
Formation energy without anion corrections: -0.38 eV/atom



[8]
DFT (PBE-GGA) results for an optimized crystal structure of MgS8.

Unit cell a=9.296 b=8.946 c=9.390 alpha=147.01 beta=116.99 gamma=89.72
Positions (direct):
S 0.036 0.934 0.694
S 0.738 0.052 0.813
S 0.821 0.989 0.611
S 0.464 0.761 0.761
S 0.179 0.011 0.389
S 0.964 0.066 0.306
S 0.536 0.239 0.239
S 0.262 0.948 0.187
Mg 0.000 0.000 0.000

Results
Electronic total energy: -3.932 eV per atom
Symmetry: P-1
Formation energy without anion corrections: -0.09 eV/atom



[9]
DFT (PBE-GGA) results for an optimized crystal structure of Mg3SbS.

Unit cell a=4.896 b=4.896 c=4.896 alpha=90.00 beta=90.00 gamma=90.00
Positions (direct):
S 0.000 0.000 0.000
Sb 0.500 0.500 0.500
Mg 0.000 0.500 0.000
Mg 0.000 0.000 0.500
Mg 0.500 0.000 0.000

Results
Energy relative to the lowest polymorph listed for this composition: 0 meV/atom
Electronic total energy: -2.999 eV per atom
Symmetry: Pm-3m
Formation energy without anion corrections: -0.39 eV/atom



[10]
DFT (PBE-GGA) results for an optimized crystal structure of MgSb2S6.

Unit cell a=6.429 b=5.678 c=10.960 alpha=90.00 beta=90.00 gamma=90.00
Positions (direct):
Sb 0.000 0.500 0.828
Sb 0.500 0.000 0.672
Sb 0.000 0.500 0.172
Sb 0.500 0.000 0.328
S 0.316 0.783 0.846
S 0.816 0.717 0.654
S 0.832 0.741 0.000
S 0.684 0.217 0.846
S 0.316 0.783 0.154
S 0.184 0.283 0.346
S 0.168 0.259 0.000
S 0.184 0.283 0.654
S 0.816 0.717 0.346
S 0.332 0.759 0.500
S 0.684 0.217 0.154
S 0.668 0.241 0.500
Mg 0.500 0.500 0.000
Mg 0.000 0.000 0.500

Results
Electronic total energy: -4.075 eV per atom
Symmetry: Pnnm
Formation energy without anion corrections: -0.23 eV/atom



[11]
DFT (PBE-GGA) results for an optimized crystal structure of MgSb2S5.

Unit cell a=5.160 b=6.673 c=12.850 alpha=90.00 beta=90.00 gamma=112.75
Positions (direct):
S 0.325 0.650 0.073
S 0.056 0.113 0.122
S 0.776 0.553 0.250
S 0.675 0.350 0.927
S 0.056 0.113 0.378
S 0.944 0.887 0.622
S 0.944 0.887 0.878
S 0.224 0.447 0.750
S 0.325 0.650 0.427
S 0.675 0.350 0.573
Mg 0.224 0.448 0.250
Mg 0.776 0.552 0.750
Sb 0.862 0.723 0.057
Sb 0.138 0.277 0.943
Sb 0.862 0.723 0.443
Sb 0.138 0.277 0.557

Results
Electronic total energy: -4.171 eV per atom
Symmetry: Cmcm
Formation energy without anion corrections: -0.36 eV/atom



[12]
DFT (PBE-GGA) results for an optimized crystal structure of MgSbS.

Unit cell a=4.162 b=4.162 c=12.679 alpha=80.55 beta=80.55 gamma=60.00
Positions (direct):
Mg 0.363 0.363 0.912
Mg 0.637 0.637 0.088
Sb 0.855 0.855 0.434
Sb 0.145 0.145 0.566
S 0.293 0.293 0.120
S 0.707 0.707 0.880

Results
Electronic total energy: -4.133 eV per atom
Symmetry: R-3m
Formation energy without anion corrections: -0.85 eV/atom



[13]
DFT (PBE-GGA) results for an optimized crystal structure of Mg3Sb5S12.

Unit cell a=13.771 b=13.771 c=13.771 alpha=109.47 beta=109.47 gamma=109.47
Positions (direct):
Mg 0.750 0.875 0.625
Mg 0.875 0.750 0.125
Mg 0.625 0.250 0.375
Mg 0.125 0.250 0.875
Mg 0.250 0.125 0.375
Mg 0.250 0.625 0.875
Mg 0.375 0.750 0.625
Mg 0.375 0.625 0.250
Mg 0.125 0.875 0.750
Mg 0.875 0.125 0.250
Mg 0.625 0.375 0.750
Mg 0.750 0.375 0.125
Sb 0.000 0.500 0.500
Sb 0.625 0.875 0.250
Sb 0.750 0.125 0.875
Sb 0.500 0.000 0.000
Sb 0.125 0.375 0.250
Sb 0.375 0.250 0.125
Sb 0.625 0.750 0.875
Sb 0.500 0.500 0.000
Sb 0.250 0.375 0.625
Sb 0.875 0.625 0.750
Sb 0.250 0.875 0.125
Sb 0.750 0.625 0.375
Sb 0.000 0.500 0.000
Sb 0.500 0.000 0.500
Sb 0.375 0.125 0.750
Sb 0.125 0.750 0.375
Sb 0.000 0.000 0.000
Sb 0.875 0.250 0.625
Sb 0.000 0.000 0.500
Sb 0.500 0.500 0.500
S 0.220 0.550 0.640
S 0.550 0.220 0.140
S 0.580 0.860 0.410
S 0.920 0.830 0.780
S 0.280 0.860 0.950
S 0.330 0.780 0.420
S 0.450 0.670 0.090
S 0.670 0.450 0.590
S 0.080 0.910 0.360
S 0.910 0.830 0.550
S 0.080 0.170 0.220
S 0.140 0.720 0.550
S 0.550 0.330 0.910
S 0.640 0.050 0.220
S 0.920 0.090 0.640
S 0.590 0.950 0.670
S 0.950 0.360 0.280
S 0.720 0.140 0.050
S 0.670 0.220 0.580
S 0.050 0.410 0.830
S 0.450 0.780 0.860
S 0.420 0.280 0.330
S 0.910 0.080 0.860
S 0.360 0.950 0.780
S 0.360 0.410 0.080
S 0.170 0.080 0.720
S 0.410 0.360 0.580
S 0.280 0.420 0.830
S 0.720 0.580 0.170
S 0.330 0.550 0.410
S 0.950 0.590 0.170
S 0.580 0.720 0.670
S 0.140 0.420 0.090
S 0.860 0.280 0.450
S 0.590 0.640 0.420
S 0.780 0.450 0.360
S 0.050 0.640 0.720
S 0.640 0.590 0.920
S 0.090 0.170 0.450
S 0.860 0.580 0.910
S 0.830 0.910 0.050
S 0.780 0.330 0.920
S 0.410 0.050 0.330
S 0.420 0.140 0.590
S 0.830 0.920 0.280
S 0.220 0.670 0.080
S 0.090 0.920 0.140
S 0.170 0.090 0.950

Results
Electronic total energy: -4.041 eV per atom
Symmetry: Ia-3d
Formation energy without anion corrections: -0.29 eV/atom



[14]
DFT (PBE-GGA) results for an optimized crystal structure of Mg2SbS4.

Unit cell a=3.589 b=6.430 c=12.708 alpha=90.00 beta=90.00 gamma=106.20
Positions (direct):
S 0.966 0.932 0.750
S 0.774 0.549 0.116
S 0.500 0.000 0.500
S 0.034 0.068 0.250
S 0.500 0.000 0.000
S 0.226 0.451 0.616
S 0.226 0.451 0.884
S 0.774 0.549 0.384
Mg 0.123 0.247 0.437
Mg 0.877 0.753 0.937
Mg 0.877 0.753 0.563
Mg 0.123 0.247 0.063
Sb 0.377 0.753 0.250
Sb 0.623 0.247 0.750

Results
Energy relative to the lowest polymorph listed for this composition: 0 meV/atom
Electronic total energy: -4.143 eV per atom
Symmetry: Cmcm
Formation energy without anion corrections: -0.74 eV/atom



[15]
DFT (PBE-GGA) results for an optimized crystal structure of MgSb3S.

Unit cell a=5.229 b=5.229 c=5.229 alpha=90.00 beta=90.00 gamma=90.00
Positions (direct):
Sb 0.500 0.000 0.000
Sb 0.000 0.500 0.000
Sb 0.000 0.000 0.500
S 0.000 0.000 0.000
Mg 0.500 0.500 0.500

Results
Energy relative to the lowest polymorph listed for this composition: 0 meV/atom
Electronic total energy: -3.214 eV per atom
Symmetry: Pm-3m
Formation energy without anion corrections: 0.40 eV/atom



[16]
DFT (PBE-GGA) results for an optimized crystal structure of Mg3SbS.

Unit cell a=5.357 b=5.357 c=5.357 alpha=90.00 beta=90.00 gamma=90.00
Positions (direct):
Mg 0.000 0.500 0.000
Mg 0.500 0.000 0.000
Mg 0.000 0.000 0.500
S 0.500 0.500 0.500
Sb 0.000 0.000 0.000

Results
Energy relative to the lowest polymorph listed for this composition: 565 meV/atom
Electronic total energy: -2.434 eV per atom
Symmetry: Pm-3m
Formation energy without anion corrections: 0.17 eV/atom



[17]
DFT (PBE-GGA) results for an optimized crystal structure of MgSb3S6.

Unit cell a=6.457 b=7.465 c=9.530 alpha=90.00 beta=90.50 gamma=90.00
Positions (direct):
S 0.841 0.678 0.565
S 0.654 0.183 0.556
S 0.154 0.317 0.056
S 0.341 0.822 0.065
S 0.159 0.322 0.435
S 0.346 0.817 0.444
S 0.650 0.425 0.256
S 0.150 0.075 0.756
S 0.850 0.925 0.244
S 0.659 0.178 0.935
S 0.350 0.575 0.744
S 0.846 0.683 0.944
Sb 0.017 0.528 0.244
Sb 0.483 0.028 0.256
Sb 0.000 0.000 0.500
Sb 0.500 0.500 0.000
Sb 0.983 0.472 0.756
Sb 0.517 0.972 0.744
Mg 0.500 0.500 0.500
Mg 0.000 0.000 0.000

Results
Electronic total energy: -4.243 eV per atom
Symmetry: P2_1/c
Formation energy without anion corrections: -0.37 eV/atom



[18]
DFT (PBE-GGA) results for an optimized crystal structure of MgSb3S.

Unit cell a=5.305 b=5.305 c=5.305 alpha=90.00 beta=90.00 gamma=90.00
Positions (direct):
Sb 0.500 0.000 0.000
Sb 0.000 0.500 0.000
Sb 0.000 0.000 0.500
S 0.500 0.500 0.500
Mg 0.000 0.000 0.000

Results
Energy relative to the lowest polymorph listed for this composition: 409 meV/atom
Electronic total energy: -2.805 eV per atom
Symmetry: Pm-3m
Formation energy without anion corrections: 0.81 eV/atom



[19]
DFT (PBE-GGA) results for an optimized crystal structure of Mg2SbS4.

Unit cell a=6.850 b=6.850 c=7.977 alpha=115.43 beta=115.43 gamma=90.00
Positions (direct):
S 0.985 0.954 0.602
S 0.397 0.235 0.102
S 0.046 0.383 0.398
S 0.704 0.867 0.102
S 0.133 0.603 0.898
S 0.353 0.015 0.398
S 0.765 0.296 0.898
S 0.617 0.647 0.602
Mg 0.375 0.125 0.750
Mg 0.875 0.625 0.250
Mg 0.375 0.625 0.250
Mg 0.375 0.625 0.750
Sb 0.000 0.000 0.000
Sb 0.750 0.250 0.500

Results
Energy relative to the lowest polymorph listed for this composition: 220 meV/atom
Electronic total energy: -3.923 eV per atom
Symmetry: I4_1/a
Formation energy without anion corrections: -0.52 eV/atom



[20]
DFT (PBE-GGA) results for an optimized crystal structure of MgTi2SbS.

Unit cell a=5.120 b=5.120 c=4.307 alpha=90.00 beta=90.00 gamma=90.00
Positions (direct):
Ti 0.500 0.000 0.000
Ti 0.000 0.500 0.000
Sb 0.500 0.500 0.500
S 0.000 0.000 0.500
Mg 0.000 0.000 0.000

Results
Electronic total energy: -4.384 eV per atom
Symmetry: P4/mmm
Formation energy without anion corrections: 0.74 eV/atom